1.
A relaxed KHfP2O crystal. Source: the Alexandria database, functional PBE.

Polymorph energy (0 for the lowest one): 2.022 eV/atom
Uncorrected formation energy: 1.2265 eV/atom
Total DFT energy (no corrections): -4.14 eV/atom
V: 20.0 Å³/atom
DOS(E_F): 3.40 states/eV/f.u.

Structure (CIF):
```
data_KHfP2O
_cell_length_a 4.931
_cell_length_b 4.931
_cell_length_c 4.119
_cell_angle_alpha 90.00
_cell_angle_beta 90.00
_cell_angle_gamma 90.00
_symmetry_space_group_name_H-M 'P 4/m m m'
_symmetry_Int_Tables_number 123
_symmetry_space_group_name_Hall '-P 4 2'
loop_
_atom_site_label
_atom_site_type_symbol
_atom_site_fract_x
_atom_site_fract_y
_atom_site_fract_z
K1 K 0.000 0.000 0.000
Hf1 Hf 0.500 0.500 0.500
P1 P 0.000 0.500 0.000
O1 O 0.000 0.000 0.500
```


2.
A relaxed NdDyLu2 crystal. Source: the Alexandria database, functional PBE.

Polymorph energy (0 for the lowest one): 0.001 eV/atom
Total DFT energy (no corrections): -4.57 eV/atom
V: 31.2 Å³/atom
DOS(E_F): 6.21 states/eV/f.u.
ΔE_f: 0.03 eV per atom

Structure (CIF):
```
data_NdDyLu2
_cell_length_a 5.025
_cell_length_b 5.025
_cell_length_c 4.948
_cell_angle_alpha 90.00
_cell_angle_beta 90.00
_cell_angle_gamma 90.00
_symmetry_space_group_name_H-M 'P 4/m m m'
_symmetry_Int_Tables_number 123
_symmetry_space_group_name_Hall '-P 4 2'
loop_
_atom_site_label
_atom_site_type_symbol
_atom_site_fract_x
_atom_site_fract_y
_atom_site_fract_z
Nd1 Nd 0.000 0.000 0.000
Dy1 Dy 0.500 0.500 0.000
Lu1 Lu 0.000 0.500 0.500
```


3.
A relaxed BaReP2 crystal. Source: the Alexandria database, functional PBE.

Total DFT energy (no corrections): -6.71 eV/atom
V: 21.4 Å³/atom
DOS(E_F): 3.40 states/eV/f.u.
ΔE_f: -0.41 eV per atom

Structure (CIF):
```
data_BaReP2
_cell_length_a 4.1815
_cell_length_b 4.1815
_cell_length_c 16.9276
_cell_angle_alpha 90.00
_cell_angle_beta 90.00
_cell_angle_gamma 120.00
_symmetry_space_group_name_H-M 'R -3 m'
_symmetry_Int_Tables_number 166
_symmetry_space_group_name_Hall '-R 3 2"'
loop_
_atom_site_label
_atom_site_type_symbol
_atom_site_fract_x
_atom_site_fract_y
_atom_site_fract_z
Ba1 Ba 0.0000 0.0000 0.0000
Re1 Re 0.0000 0.0000 0.5000
P1 P 0.0000 0.0000 0.2011
```


4.
A relaxed LaGa2 crystal. Source: the Alexandria database, functional PBE.

Total DFT energy (no corrections): -4.14 eV/atom
V: 26.1 Å³/atom
DOS(E_F): 2.29 states/eV/f.u.
ΔE_f: -0.48 eV per atom

Structure (CIF):
```
data_LaGa2
_cell_length_a 4.3551
_cell_length_b 4.3551
_cell_length_c 14.2958
_cell_angle_alpha 90.00
_cell_angle_beta 90.00
_cell_angle_gamma 120.00
_symmetry_space_group_name_H-M 'R 3 m'
_symmetry_Int_Tables_number 160
_symmetry_space_group_name_Hall 'R 3 -2"'
loop_
_atom_site_label
_atom_site_type_symbol
_atom_site_fract_x
_atom_site_fract_y
_atom_site_fract_z
La1 La 0.0000 0.0000 0.0000
Ga1 Ga 0.0000 0.0000 0.5009
Ga2 Ga 0.0000 0.0000 0.7851
```


5.
A relaxed BaPAu2S crystal. Source: the Alexandria database, functional PBE.

Uncorrected formation energy: -0.5705 eV/atom
Total DFT energy (no corrections): -4.17 eV/atom
V: 24.6 Å³/atom
DOS(E_F): 1.45 states/eV/f.u.

Structure (CIF):
```
data_BaPAu2S
_cell_length_a 4.763
_cell_length_b 4.763
_cell_length_c 5.426
_cell_angle_alpha 90.00
_cell_angle_beta 90.00
_cell_angle_gamma 90.00
_symmetry_space_group_name_H-M 'P 4/m m m'
_symmetry_Int_Tables_number 123
_symmetry_space_group_name_Hall '-P 4 2'
loop_
_atom_site_label
_atom_site_type_symbol
_atom_site_fract_x
_atom_site_fract_y
_atom_site_fract_z
Ba1 Ba 0.000 0.000 0.000
P1 P 0.500 0.500 0.500
Au1 Au 0.000 0.500 0.500
S1 S 0.500 0.500 0.000
```


6.
A relaxed NaTm2NbO6 crystal. Source: the Alexandria database, functional PBE.

Uncorrected formation energy: -3.0189 eV/atom
Total DFT energy (no corrections): -8.03 eV/atom
V: 13.7 Å³/atom
DOS(E_F): 0.00 states/eV/f.u.

Structure (CIF):
```
data_NaTm2NbO6
_cell_length_a 5.6226
_cell_length_b 5.6226
_cell_length_c 15.0187
_cell_angle_alpha 90.00
_cell_angle_beta 90.00
_cell_angle_gamma 120.00
_symmetry_space_group_name_H-M 'R 3'
_symmetry_Int_Tables_number 146
_symmetry_space_group_name_Hall 'R 3'
loop_
_atom_site_label
_atom_site_type_symbol
_atom_site_fract_x
_atom_site_fract_y
_atom_site_fract_z
Na1 Na 0.0000 0.0000 0.0000
Tm1 Tm 0.0000 0.0000 0.2750
Tm2 Tm 0.0000 0.0000 0.7772
Nb1 Nb 0.0000 0.0000 0.4794
O1 O 0.0098 0.3639 0.2058
O2 O 0.0296 0.7429 0.3840
```


7.
A relaxed Sr2Cd10Hg crystal. Source: the Alexandria database, functional PBE.

Total DFT energy (no corrections): -1.02 eV/atom
V: 31.2 Å³/atom
DOS(E_F): 7.29 states/eV/f.u.
ΔE_f: -0.03 eV per atom

Structure (CIF):
```
data_Sr2Cd10Hg
_cell_length_a 10.695
_cell_length_b 12.315
_cell_length_c 6.155
_cell_angle_alpha 90.00
_cell_angle_beta 90.00
_cell_angle_gamma 90.00
_symmetry_space_group_name_H-M 'P b a m'
_symmetry_Int_Tables_number 55
loop_
_symmetry_equiv_pos_as_xyz
'x,y,z'
'-x,-y,-z'
'-x,-y,z'
'x,y,-z'
'x+1/2,-y+1/2,-z'
'-x+1/2,y+1/2,z'
'-x+1/2,y+1/2,-z'
'x+1/2,-y+1/2,z'
loop_
_atom_site_label
_atom_site_type_symbol
_atom_site_fract_x
_atom_site_fract_y
_atom_site_fract_z
Sr1 Sr 0.133 0.131 0.000
Cd1 Cd 0.039 0.888 0.500
Cd2 Cd 0.081 0.692 0.233
Cd3 Cd 0.184 0.303 0.500
Cd4 Cd 0.237 0.048 0.500
Hg1 Hg 0.000 0.500 0.500
```


8.
A relaxed K3W crystal. Source: the Alexandria database, functional PBE.

Polymorph energy (0 for the lowest one): 0.658 eV/atom
Total DFT energy (no corrections): -2.51 eV/atom
V: 43.6 Å³/atom
DOS(E_F): 2.04 states/eV/f.u.
ΔE_f: 1.55 eV per atom

Structure (CIF):
```
data_K3W
_cell_length_a 12.7505
_cell_length_b 12.7505
_cell_length_c 3.7171
_cell_angle_alpha 90.00
_cell_angle_beta 90.00
_cell_angle_gamma 120.00
_symmetry_space_group_name_H-M 'R -3 m'
_symmetry_Int_Tables_number 166
_symmetry_space_group_name_Hall '-R 3 2"'
loop_
_atom_site_label
_atom_site_type_symbol
_atom_site_fract_x
_atom_site_fract_y
_atom_site_fract_z
K1 K 0.0000 0.5000 0.0000
W1 W 0.0000 0.0000 0.0000
```


9.
A relaxed V3SeCl crystal. Source: the Alexandria database, functional PBE.

Polymorph energy (0 for the lowest one): 0.000 eV/atom
Uncorrected formation energy: 0.5763 eV/atom
Total DFT energy (no corrections): -5.96 eV/atom
V: 15.9 Å³/atom
DOS(E_F): 6.06 states/eV/f.u.

Structure (CIF):
```
data_V3SeCl
_cell_length_a 4.300
_cell_length_b 4.300
_cell_length_c 4.300
_cell_angle_alpha 90.00
_cell_angle_beta 90.00
_cell_angle_gamma 90.00
_symmetry_space_group_name_H-M 'P m -3 m'
_symmetry_Int_Tables_number 221
_symmetry_space_group_name_Hall '-P 4 2 3'
loop_
_atom_site_label
_atom_site_type_symbol
_atom_site_fract_x
_atom_site_fract_y
_atom_site_fract_z
V1 V 0.000 0.000 0.500
Se1 Se 0.500 0.500 0.500
Cl1 Cl 0.000 0.000 0.000
```


10.
A relaxed ErBe2Co2B crystal. Source: the Alexandria database, functional PBE.

Total DFT energy (no corrections): -5.80 eV/atom
V: 12.0 Å³/atom
DOS(E_F): 2.30 states/eV/f.u.
ΔE_f: -0.32 eV per atom

Structure (CIF):
```
data_ErBe2Co2B
_cell_length_a 3.759
_cell_length_b 3.759
_cell_length_c 5.106
_cell_angle_alpha 90.00
_cell_angle_beta 90.00
_cell_angle_gamma 90.00
_symmetry_space_group_name_H-M 'P 4/m m m'
_symmetry_Int_Tables_number 123
_symmetry_space_group_name_Hall '-P 4 2'
loop_
_atom_site_label
_atom_site_type_symbol
_atom_site_fract_x
_atom_site_fract_y
_atom_site_fract_z
Er1 Er 0.000 0.000 0.000
Be1 Be 0.500 0.500 0.243
Co1 Co 0.000 0.500 0.500
B1 B 0.000 0.000 0.500
```


11.
A relaxed HoZnAgRh crystal. Source: the Alexandria database, functional PBE.

Total DFT energy (no corrections): -4.42 eV/atom
V: 18.2 Å³/atom
DOS(E_F): 2.20 states/eV/f.u.
ΔE_f: -0.40 eV per atom

Structure (CIF):
```
data_HoZnAgRh
_cell_length_a 6.634
_cell_length_b 6.634
_cell_length_c 6.634
_cell_angle_alpha 90.00
_cell_angle_beta 90.00
_cell_angle_gamma 90.00
_symmetry_space_group_name_H-M 'F -4 3 m'
_symmetry_Int_Tables_number 216
_symmetry_space_group_name_Hall 'F -4 2 3'
loop_
_atom_site_label
_atom_site_type_symbol
_atom_site_fract_x
_atom_site_fract_y
_atom_site_fract_z
Ho1 Ho 0.000 0.000 0.000
Zn1 Zn 0.000 0.000 0.500
Ag1 Ag 0.250 0.250 0.750
Rh1 Rh 0.250 0.250 0.250
```


12.
A relaxed Sr2CoCuC crystal. Source: the Alexandria database, functional PBE.

Total DFT energy (no corrections): -4.65 eV/atom
V: 21.6 Å³/atom
DOS(E_F): 1.54 states/eV/f.u.
ΔE_f: 0.11 eV per atom

Structure (CIF):
```
data_Sr2CoCuC
_cell_length_a 5.460
_cell_length_b 5.460
_cell_length_c 3.631
_cell_angle_alpha 90.00
_cell_angle_beta 90.00
_cell_angle_gamma 90.00
_symmetry_space_group_name_H-M 'P 4/m m m'
_symmetry_Int_Tables_number 123
_symmetry_space_group_name_Hall '-P 4 2'
loop_
_atom_site_label
_atom_site_type_symbol
_atom_site_fract_x
_atom_site_fract_y
_atom_site_fract_z
Sr1 Sr 0.000 0.500 0.000
Co1 Co 0.000 0.000 0.500
Cu1 Cu 0.500 0.500 0.500
C1 C 0.000 0.000 0.000
```